No. 1
! PBE-GGA LaSmTc, relaxed; values from VASP
! total energy: -6.6217 eV per atom
! DOS at the Fermi energy: 9.759 states/eV per cell
! formation energy: 4.7 kJ per mole of atoms
! volume: 28.10 Å³/atom
! E above lowest polymorph: 0 meV/atom
&SYSTEM
  ibrav = 0, nat = 12, ntyp = 3
/
ATOMIC_SPECIES
La 138.91 La.upf
Sm 150.36 Sm.upf
Tc 98.00 Tc.upf
ATOMIC_POSITIONS crystal
La 0.210 0.421 0.609
La 0.710 0.421 0.891
La 0.290 0.579 0.109
La 0.790 0.579 0.391
Sm 0.777 0.054 0.250
Sm 0.277 0.054 0.250
Sm 0.723 0.946 0.750
Sm 0.223 0.946 0.750
Tc 0.383 0.766 0.474
Tc 0.883 0.766 0.026
Tc 0.617 0.234 0.526
Tc 0.117 0.234 0.974
CELL_PARAMETERS angstrom
6.991 0.000 0.000
-3.495 6.545 0.000
0.000 0.000 7.371


No. 2
! PBE-GGA K6Rb3Au, relaxed; values from VASP
! total energy: -1.3128 eV per atom
! DOS at the Fermi energy: 15.007 states/eV per cell
! formation energy: -3.5 kJ per mole of atoms
! volume: 70.59 Å³/atom
! E above lowest polymorph: 20 meV/atom
&SYSTEM
  ibrav = 0, nat = 20, ntyp = 3
/
ATOMIC_SPECIES
K 39.10 K.upf
Rb 85.47 Rb.upf
Au 196.97 Au.upf
ATOMIC_POSITIONS crystal
K 0.095 0.205 0.137
K 0.405 0.705 0.363
K 0.860 0.641 0.524
K 0.615 0.372 0.304
K 0.385 0.628 0.696
K 0.905 0.795 0.863
K 0.140 0.359 0.476
K 0.640 0.141 0.976
K 0.360 0.859 0.024
K 0.885 0.872 0.196
K 0.595 0.295 0.637
K 0.115 0.128 0.804
Rb 0.980 0.446 0.826
Rb 0.500 0.500 0.000
Rb 0.480 0.054 0.326
Rb 0.520 0.946 0.674
Rb 0.020 0.554 0.174
Rb 0.000 0.000 0.500
Au 0.500 0.500 0.500
Au 0.000 0.000 0.000
CELL_PARAMETERS angstrom
7.959 0.000 -0.091
0.000 13.158 0.000
-0.040 0.000 13.482


No. 3
! PBE-GGA NiBi, relaxed; values from VASP
! total energy: -4.7797 eV per atom
! DOS at the Fermi energy: 2.741 states/eV per cell
! formation energy: 5.0 kJ per mole of atoms
! volume: 19.24 Å³/atom
&SYSTEM
  ibrav = 0, nat = 4, ntyp = 2
/
ATOMIC_SPECIES
Ni 58.69 Ni.upf
Bi 208.98 Bi.upf
ATOMIC_POSITIONS crystal
Ni 0.927 0.250 0.851
Ni 0.073 0.750 0.149
Bi 0.360 0.750 0.720
Bi 0.640 0.250 0.280
CELL_PARAMETERS angstrom
3.722 0.000 -0.008
0.000 4.086 0.000
-1.843 0.000 5.065


No. 4
! PBE-GGA ZnCrAsSe2, relaxed; values from VASP
! total energy: -3.3870 eV per atom
! DOS at the Fermi energy: 5.519 states/eV per cell
! volume: 22.42 Å³/atom
! E above lowest polymorph: 773 meV/atom
&SYSTEM
  ibrav = 0, nat = 5, ntyp = 4
/
ATOMIC_SPECIES
Cr 52.00 Cr.upf
As 74.92 As.upf
Se 78.96 Se.upf
Zn 65.41 Zn.upf
ATOMIC_POSITIONS crystal
Cr 0.500 0.500 0.500
As 0.000 0.000 0.500
Se 0.000 0.500 0.000
Se 0.500 0.000 0.000
Zn 0.000 0.000 0.000
CELL_PARAMETERS angstrom
4.892 0.000 0.000
0.000 4.892 0.000
0.000 0.000 4.684


No. 5
! PBE-GGA Zn2RuW, relaxed; values from VASP
! total energy: -5.9844 eV per atom
! DOS at the Fermi energy: 2.649 states/eV per cell
! formation energy: 20.2 kJ per mole of atoms
! volume: 14.77 Å³/atom
! E above lowest polymorph: 189 meV/atom
&SYSTEM
  ibrav = 0, nat = 4, ntyp = 3
/
ATOMIC_SPECIES
Zn 65.41 Zn.upf
Ru 101.07 Ru.upf
W 183.84 W.upf
ATOMIC_POSITIONS crystal
Zn 0.993 0.993 0.000
Zn 0.507 0.507 0.000
Ru 0.750 0.250 0.500
W 0.250 0.750 0.500
CELL_PARAMETERS angstrom
5.208 0.004 0.004
2.471 4.585 -0.004
-3.329 -3.148 2.476


No. 6
! PBE-GGA SrNbP2Cl, relaxed; values from VASP
! total energy: -5.6532 eV per atom
! DOS at the Fermi energy: 1.827 states/eV per cell
! volume: 23.88 Å³/atom
! E above lowest polymorph: 0 meV/atom
&SYSTEM
  ibrav = 0, nat = 5, ntyp = 4
/
ATOMIC_SPECIES
Cl 35.45 Cl.upf
Sr 87.62 Sr.upf
Nb 92.91 Nb.upf
P 30.97 P.upf
ATOMIC_POSITIONS crystal
Cl 0.000 0.000 0.500
Sr 0.500 0.500 0.500
Nb 0.000 0.000 0.000
P 0.500 0.000 0.000
P 0.000 0.500 0.000
CELL_PARAMETERS angstrom
-3.275 2.891 -2.176
-2.638 0.101 4.105
2.543 4.037 1.535


No. 7
! PBE-GGA Sc2SbOs, relaxed; values from VASP
! total energy: -6.9047 eV per atom
! DOS at the Fermi energy: 3.857 states/eV per cell
! volume: 21.06 Å³/atom
&SYSTEM
  ibrav = 0, nat = 4, ntyp = 3
/
ATOMIC_SPECIES
Os 190.23 Os.upf
Sb 121.76 Sb.upf
Sc 44.96 Sc.upf
ATOMIC_POSITIONS crystal
Os 0.498 0.498 0.498
Sb 0.760 0.760 0.760
Sc 0.238 0.238 0.238
Sc 0.004 0.004 0.004
CELL_PARAMETERS angstrom
9.387 -0.033 -0.019
8.834 3.172 -0.019
8.834 1.522 2.783


No. 8
! PBE-GGA LaPuUO6, relaxed; values from VASP
! total energy: -9.8384 eV per atom
! DOS at the Fermi energy: 17.111 states/eV per cell
! volume: 15.89 Å³/atom
&SYSTEM
  ibrav = 0, nat = 18, ntyp = 4
/
ATOMIC_SPECIES
Pu 244.00 Pu.upf
O 16.00 O.upf
U 238.03 U.upf
La 138.91 La.upf
ATOMIC_POSITIONS crystal
Pu 0.000 0.000 0.500
Pu 0.000 0.000 0.000
O 0.038 0.356 0.630
O 0.644 0.682 0.630
O 0.962 0.644 0.370
O 0.682 0.038 0.370
O 0.962 0.318 0.130
O 0.318 0.356 0.870
O 0.644 0.962 0.870
O 0.682 0.644 0.130
O 0.356 0.318 0.370
O 0.038 0.682 0.870
O 0.356 0.038 0.130
O 0.318 0.962 0.630
U 0.667 0.333 0.250
U 0.333 0.667 0.750
La 0.333 0.667 0.250
La 0.667 0.333 0.750
CELL_PARAMETERS angstrom
6.010 0.000 0.000
-3.005 5.205 0.000
0.000 0.000 9.145